The following is a PBE calculation of a geometry-optimized CaCrTc2 structure, from the Alexandria database.

abc: 5.3243 5.3480 2.6419
angles: 81.33 80.07 117.70
Last column: nearest neighbours and their distance in Å.
Atoms (fractional coordinates):
Cr1 0.5000 0.0000 0.5000  2 Cr 2.64, 4 Tc 2.76, 2 Ca 2.80
Ca1 0.5000 0.5000 0.0000  2 Ca 2.64, 4 Tc 2.76, 2 Cr 2.80
Tc1 0.0000 0.0000 0.0000  4 Tc 2.64-2.80, 2 Cr 2.76, 2 Ca 2.76
Tc2 0.0000 0.5000 0.5000  4 Tc 2.64-2.80, 2 Ca 2.76, 2 Cr 2.76

Output
Electronic total energy, eV/atom: -7.40
Formation energy, meV/atom: 687.5
Energy relative to the lowest polymorph listed for this composition, eV/atom: 0.465
Symmetry: C2/m


The following is a PBE calculation of a geometry-optimized Na2HgBr structure, from the Alexandria database.

abc: 4.0234 4.0234 8.6823
angles: 76.60 76.60 60.00
Last column: nearest neighbours and their distance in Å.
Atoms (fractional coordinates):
Na1 0.2599 0.2599 0.2203  3 Br 2.97, 3 Hg 3.30
Na2 0.7401 0.7401 0.7797  3 Br 2.97, 3 Hg 3.30
Hg1 0.5000 0.5000 0.5000  6 Na 3.30
Br1 0.0000 0.0000 0.0000  6 Na 2.97

Output
Electronic total energy, eV/atom: -1.92
Energy relative to the lowest polymorph listed for this composition, eV/atom: 0.009
Symmetry: R-3m
Raw formation energy, eV/atom: -0.771


The following is a PBE calculation of a geometry-optimized FeNiSb3 structure, from the Alexandria database.

abc: 4.9525 4.9525 4.9525
angles: 90.00 90.00 90.00
Last column: nearest neighbours and their distance in Å.
Atoms (fractional coordinates):
Sb1 0.0000 0.5000 0.0000  2 Ni 2.48
Sb2 0.0000 0.0000 0.5000  2 Ni 2.48
Sb3 0.5000 0.0000 0.0000  2 Ni 2.48
Fe1 0.5000 0.5000 0.5000  12 Sb 3.50
Ni1 0.0000 0.0000 0.0000  6 Sb 2.48

Output
Electronic total energy, eV/atom: -4.60
Energy relative to the lowest polymorph listed for this composition, eV/atom: 0.037
Symmetry: Pm-3m
Raw formation energy, eV/atom: 0.727